[1]
Below is AlGaCo2 after structural relaxation, with properties calculated at the GGA-PBEsol level.

Output
The calculation puts the magnetic moment at 0.00 μB per cell. The value obtained for the total energy is -6.21 eV/atom. Its space group is Fm-3m (225).

Cell lengths 3.9998, 3.9998, 3.9998 Å; angles 60.00, 60.00, 60.00 degrees
Atoms (fractional coordinates):
Al 0.0000 0.0000 0.0000
Ga 0.5000 0.5000 0.5000
Co 0.7500 0.7500 0.7500
Co 0.2500 0.2500 0.2500



[2]
Below is AlCoHg2Ge after structural relaxation, with properties calculated at the GGA-PBEsol level.

Output
The calculation puts the magnetic moment at 0.94 μB per cell. The value obtained for the total energy is -2.75 eV/atom. Its space group is P4/mmm (123).

Cell lengths 4.4124, 4.9636, 4.9636 Å; angles 90.00, 90.00, 90.00 degrees
Each line ends with the local moment (μB).
Atoms (fractional coordinates):
Al 0.0000 0.0000 0.0000  -0.02
Hg 0.0000 0.0000 0.5000  0.00
Hg 0.0000 0.5000 0.0000  0.00
Ge 0.5000 0.5000 0.5000  -0.04
Co 0.5000 0.0000 0.0000  1.08



[3]
Below is Na2AlCoGe after structural relaxation, with properties calculated at the GGA-PBEsol level.

Output
The calculation puts the magnetic moment at 2.17 μB per cell. The value obtained for the total energy is -2.75 eV/atom. Its space group is P4/mmm (123).

Cell lengths 4.7422, 5.4728, 5.4728 Å; angles 90.00, 90.00, 90.00 degrees
Each line ends with the local moment (μB).
Atoms (fractional coordinates):
Na 0.0000 0.0000 0.5000  0.00
Na 0.0000 0.5000 0.0000  0.00
Al 0.0000 0.0000 0.0000  0.01
Co 0.5000 0.5000 0.5000  2.12
Ge 0.5000 0.0000 0.0000  -0.02



[4]
Below is Al2Co3GeO8 after structural relaxation, with properties calculated at the GGA-PBEsol level.

Output
The calculation puts the magnetic moment at 1.57 μB per cell. The value obtained for the total energy is -7.28 eV/atom. The calculation puts the energy relative to the elements, uncorrected at -1.688 eV/atom. Its space group is Imm2 (44).

Cell lengths 5.5636, 5.7768, 5.7768 Å; angles 60.29, 61.21, 61.21 degrees
Each line ends with the local moment (μB).
Atoms (fractional coordinates):
Co 0.1493 0.6231 0.6231  1.95
Co 0.2577 0.2423 0.2423  -2.38
Co 0.6044 0.6231 0.6231  1.95
O 0.8580 0.8876 0.3964  0.07
O 0.8444 0.3803 0.3803  -0.05
O 0.8620 0.8763 0.8763  0.03
O 0.3951 0.3803 0.3803  -0.05
O 0.3998 0.3478 0.8526  -0.01
O 0.3854 0.8763 0.8763  0.03
O 0.8580 0.3964 0.8876  0.07
O 0.3998 0.8526 0.3478  -0.01
Al 0.6251 0.1317 0.6181  -0.01
Al 0.6251 0.6181 0.1317  -0.01
Ge 0.9860 0.0140 0.0140  0.01



[5]
Below is AlCoGeOs2 after structural relaxation, with properties calculated at the GGA-PBEsol level.

Output
The calculation puts the magnetic moment at 2.05 μB per cell. The value obtained for the total energy is -6.30 eV/atom. Its space group is P4/mmm (123).

Cell lengths 4.4063, 4.4063, 4.4541 Å; angles 90.00, 90.00, 90.00 degrees
Each line ends with the local moment (μB).
Atoms (fractional coordinates):
Os 0.5000 0.0000 0.0000  0.04
Os 0.0000 0.5000 0.0000  0.04
Ge 0.0000 0.0000 0.5000  0.00
Co 0.5000 0.5000 0.5000  2.00
Al 0.0000 0.0000 0.0000  0.00



[6]
Below is Al2CoHIr after structural relaxation, with properties calculated at the GGA-PBEsol level.

Output
The calculation puts the magnetic moment at 0.00 μB per cell. The value obtained for the total energy is -5.74 eV/atom. Its space group is P4/mmm (123).

Cell lengths 2.9125, 4.5324, 4.5324 Å; angles 90.00, 90.00, 90.00 degrees
Atoms (fractional coordinates):
Al 0.0000 0.5000 0.0000
Al 0.0000 0.0000 0.5000
H 0.5000 0.0000 0.0000
Co 0.0000 0.0000 0.0000
Ir 0.5000 0.5000 0.5000



[7]
Below is HfAlCo after structural relaxation, with properties calculated at the GGA-PBEsol level.

Output
The calculation puts the magnetic moment at 0.00 μB per cell. The value obtained for the total energy is -7.95 eV/atom. Its space group is Amm2 (38).

Cell lengths 5.0272, 5.0272, 7.9846 Å; angles 90.00, 90.00, 119.10 degrees
Atoms (fractional coordinates):
Al 0.1665 0.3452 0.0000
Al 0.0067 0.9933 0.7362
Al 0.0067 0.9933 0.2638
Al 0.6548 0.8335 0.0000
Co 0.8316 0.1684 0.5000
Co 0.8291 0.6547 0.5000
Co 0.3453 0.1709 0.5000
Co 0.1675 0.8325 0.0000
Hf 0.3301 0.6699 0.6745
Hf 0.6657 0.3343 0.2133
Hf 0.6657 0.3343 0.7867
Hf 0.3301 0.6699 0.3255



[8]
Below is HfAlCo2Tc after structural relaxation, with properties calculated at the GGA-PBEsol level.

Output
The calculation puts the magnetic moment at 0.74 μB per cell. The value obtained for the total energy is -7.70 eV/atom. Its space group is P4/mmm (123).

Cell lengths 4.1219, 4.1219, 4.4420 Å; angles 90.00, 90.00, 90.00 degrees
Each line ends with the local moment (μB).
Atoms (fractional coordinates):
Co 0.0000 0.5000 0.0000  0.43
Co 0.5000 0.0000 0.0000  0.43
Al 0.0000 0.0000 0.0000  -0.01
Hf 0.5000 0.5000 0.5000  -0.07
Tc 0.0000 0.0000 0.5000  0.05



[9]
Below is AlCoHg2 after structural relaxation, with properties calculated at the GGA-PBEsol level.

Output
Its energy above the most stable polymorph in this dataset is 25.4 kJ per mole of atoms. The calculation puts the magnetic moment at 0.00 μB per cell. The value obtained for the total energy is -2.84 eV/atom. Its space group is I-42d (122).

Cell lengths 4.6218, 6.4380, 6.4380 Å; angles 82.60, 68.96, 68.96 degrees
Atoms (fractional coordinates):
Co 0.7500 0.5000 0.5000
Co 0.0000 0.0000 0.0000
Al 0.2500 0.5000 0.5000
Al 0.5000 0.0000 0.0000
Hg 0.7348 0.3902 0.8902
Hg 0.3750 0.8902 0.6098
Hg 0.0152 0.6098 0.1098
Hg 0.8750 0.1098 0.3902



[10]
Below is AlCo2Hg after structural relaxation, with properties calculated at the GGA-PBEsol level.

Output
Its energy above the most stable polymorph in this dataset is 5.8 kJ per mole of atoms. The calculation puts the magnetic moment at 2.21 μB per cell. The value obtained for the total energy is -4.92 eV/atom. Its space group is Cm (8).

Cell lengths 2.8758, 4.3429, 4.7899 Å; angles 107.52, 107.47, 90.00 degrees
Each line ends with the local moment (μB).
Atoms (fractional coordinates):
Hg 0.4935 0.4734 0.9869  -0.02
Al 0.2659 0.7947 0.5317  -0.02
Co 0.7324 0.2458 0.4647  1.16
Co 0.0083 0.9861 0.0166  1.17



[11]
Below is AlCoHg2 after structural relaxation, with properties calculated at the GGA-PBEsol level.

Output
Its energy above the most stable polymorph in this dataset is 9.0 kJ per mole of atoms. The calculation puts the magnetic moment at 0.00 μB per cell. The value obtained for the total energy is -3.01 eV/atom. Its space group is I4/mmm (139).

Cell lengths 3.9711, 3.9738, 4.9661 Å; angles 113.58, 113.57, 90.00 degrees
Atoms (fractional coordinates):
Hg 0.2501 0.2501 0.5001
Hg 0.7499 0.7499 0.4999
Co 0.0000 0.5000 0.0000
Al 0.5000 0.0000 0.0000



[12]
Below is AlCoHg2 after structural relaxation, with properties calculated at the GGA-PBEsol level.

Output
Its energy above the most stable polymorph in this dataset is 0.0 kJ per mole of atoms. The calculation puts the magnetic moment at 0.76 μB per cell. The value obtained for the total energy is -3.10 eV/atom. Its space group is R3m (160).

Cell lengths 3.0026, 3.0026, 8.9548 Å; angles 80.35, 80.35, 60.00 degrees
Each line ends with the local moment (μB).
Atoms (fractional coordinates):
Hg 0.0122 0.0122 0.9635  -0.01
Hg 0.2437 0.2437 0.2688  0.00
Al 0.4864 0.4864 0.5409  -0.01
Co 0.7577 0.7577 0.7268  0.84



Question: What is the magnetic moment in the first record?
Answer: 0.00 μB per cell